Entry from Alexandria via LeMat-Bulk: a relaxed structure of ReWCl2 (GGA-PBE).

Calculated values
Excess energy over the best structure of this formula in the dataset (kcal/mol of atoms): 27.169
Mass density (g/cm3): 11.1
Magnetic moment (μB per atom): 0.00
Formation energy from raw total energies (eV/atom): 0.996
Uncorrected energy (eV per atom): -6.277
Volume (A^3/atom): 16.42

Cell lengths 4.446, 5.204, 3.363 Å; angles 71.08, 90.16, 115.34 degrees
Element x y z (fractional)
Re: 0.000 0.500 0.500
W: 0.500 0.500 0.000
Cl: 0.500 0.000 0.500
Cl: 0.000 0.000 0.000